{
  "formula": "AlSbCl2",
  "functional": "PBE",
  "state": "relaxed",
  "lattice_angstrom": [[5.650, -0.009, -0.023], [-2.806, 4.976, 0.016], [0.038, 1.193, 3.235]],
  "species": ["Cl", "Cl", "Sb", "Al"],
  "fractional_positions": [[0.000, 0.000, 0.000], [0.500, 0.000, 0.500], [0.000, 0.500, 0.500], [0.500, 0.500, 0.000]],
  "polymorph_energy_mev_per_atom": 435.9,
  "formation_energy_uncorrected_ev_per_atom": -0.21
}


{
  "formula": "Mg2Ga",
  "functional": "PBE",
  "state": "relaxed",
  "lattice_angstrom": [[5.462, 0.125, 0.000], [-3.106, 4.494, 0.000], [0.000, 0.000, 4.950]],
  "species": ["Mg", "Mg", "Mg", "Mg", "Ga", "Ga"],
  "fractional_positions": [[0.454, 0.138, 0.750], [0.862, 0.546, 0.250], [0.138, 0.454, 0.750], [0.546, 0.862, 0.250], [0.204, 0.204, 0.250], [0.796, 0.796, 0.750]],
  "e_form_ev_per_fu": -0.254
}


{
  "formula": "CuTeSe2",
  "functional": "PBE",
  "state": "relaxed",
  "lattice_angstrom": [[2.142, 0.000, 8.077], [-1.071, 1.855, 8.077], [-1.071, -1.855, 8.077]],
  "species": ["Se", "Se", "Cu", "Te"],
  "fractional_positions": [[0.888, 0.888, 0.888], [0.112, 0.112, 0.112], [0.500, 0.500, 0.500], [0.000, 0.000, 0.000]],
  "formation_energy_uncorrected_ev_per_atom": 0.02
}


{
  "formula": "KLaTi3",
  "functional": "PBE",
  "state": "relaxed",
  "lattice_angstrom": [[5.080, 0.000, 0.000], [0.000, 5.080, 0.000], [0.000, 0.000, 5.080]],
  "species": ["Ti", "Ti", "Ti", "K", "La"],
  "fractional_positions": [[0.000, 0.500, 0.000], [0.500, 0.000, 0.000], [0.000, 0.000, 0.500], [0.500, 0.500, 0.500], [0.000, 0.000, 0.000]],
  "polymorph_energy_mev_per_atom": 0.0,
  "e_form_ev_per_fu": 6.932
}


{
  "formula": "CdCu4As",
  "functional": "PBE",
  "state": "relaxed",
  "lattice_angstrom": [[0.000, 3.536, 3.536], [3.536, 0.000, 3.536], [3.536, 3.536, 0.000]],
  "species": ["Cd", "As", "Cu", "Cu", "Cu", "Cu"],
  "fractional_positions": [[0.000, 0.000, 0.000], [0.750, 0.750, 0.750], [0.375, 0.876, 0.375], [0.375, 0.375, 0.876], [0.876, 0.375, 0.375], [0.375, 0.375, 0.375]],
  "e_form_ev_per_fu": 0.639
}


{
  "formula": "Tm5SnAu2",
  "functional": "PBE",
  "state": "relaxed",
  "lattice_angstrom": [[-7.532, 2.436, -0.360], [-2.379, -6.896, 3.095], [5.481, 4.744, 4.638]],
  "species": ["Au", "Au", "Au", "Au", "Tm", "Tm", "Tm", "Tm", "Tm", "Tm", "Tm", "Tm", "Tm", "Tm", "Sn", "Sn"],
  "fractional_positions": [[0.637, 0.137, 0.000], [0.363, 0.863, 0.000], [0.137, 0.363, 0.000], [0.863, 0.637, 0.000], [0.500, 0.500, 0.000], [0.013, 0.513, 0.712], [0.487, 0.301, 0.288], [0.699, 0.199, 0.712], [0.513, 0.699, 0.712], [0.987, 0.487, 0.288], [0.801, 0.987, 0.288], [0.199, 0.013, 0.712], [0.301, 0.801, 0.288], [0.000, 0.000, 0.000], [0.750, 0.750, 0.500], [0.250, 0.250, 0.500]],
  "e_form_ev_per_fu": -5.497
}


{
  "formula": "Rb3Na8Tl",
  "functional": "PBE",
  "state": "relaxed",
  "lattice_angstrom": [[7.061, 0.000, 2.094], [3.220, 6.284, 2.094], [0.171, 0.104, 12.375]],
  "species": ["Rb", "Rb", "Rb", "Tl", "Na", "Na", "Na", "Na", "Na", "Na", "Na", "Na"],
  "fractional_positions": [[0.010, 0.010, 0.971], [0.496, 0.496, 0.512], [0.625, 0.625, 0.125], [0.128, 0.128, 0.615], [0.069, 0.567, 0.797], [0.312, 0.312, 0.063], [0.061, 0.543, 0.335], [0.567, 0.567, 0.797], [0.543, 0.061, 0.335], [0.061, 0.061, 0.335], [0.811, 0.811, 0.567], [0.567, 0.069, 0.797]],
  "e_form_ev_per_fu": 0.327
}


{
  "formula": "LiCuAu2F8",
  "functional": "PBE",
  "state": "relaxed",
  "lattice_angstrom": [[0.062, 0.376, 6.049], [5.471, -2.532, -0.631], [-0.890, 5.200, -2.984]],
  "species": ["Au", "Au", "Li", "F", "F", "F", "F", "F", "F", "F", "F", "Cu"],
  "fractional_positions": [[0.750, 0.250, 0.500], [0.500, 0.500, 0.000], [0.000, 0.000, 0.000], [0.282, 0.071, 0.789], [0.349, 0.047, 0.302], [0.953, 0.255, 0.302], [0.507, 0.718, 0.789], [0.929, 0.718, 0.211], [0.745, 0.047, 0.698], [0.953, 0.651, 0.698], [0.282, 0.493, 0.211], [0.250, 0.750, 0.500]],
  "formation_energy_uncorrected_ev_per_atom": -1.19
}


{
  "formula": "Na2GeAs2",
  "functional": "PBE",
  "state": "relaxed",
  "lattice_angstrom": [[6.415, -0.006, -2.691], [-4.333, 5.923, -1.341], [-0.665, -0.456, 7.417]],
  "species": ["Na", "Na", "Na", "Na", "Ge", "Ge", "As", "As", "As", "As"],
  "fractional_positions": [[0.363, 0.136, 0.864], [0.637, 0.864, 0.136], [0.137, 0.637, 0.364], [0.863, 0.364, 0.636], [0.750, 0.750, 0.750], [0.250, 0.250, 0.250], [0.198, 0.891, 0.110], [0.802, 0.109, 0.890], [0.698, 0.610, 0.391], [0.302, 0.390, 0.609]],
  "polymorph_energy_mev_per_atom": 0.0,
  "e_form_ev_per_fu": -1.522
}


{
  "formula": "Zr4ZnPb",
  "functional": "PBE",
  "state": "relaxed",
  "lattice_angstrom": [[-1.069, -1.880, 5.400], [-0.059, 3.766, 4.432], [-5.023, 1.345, 2.607]],
  "species": ["Zr", "Zr", "Zr", "Zr", "Zn", "Pb"],
  "fractional_positions": [[0.375, 0.375, 0.876], [0.375, 0.375, 0.375], [0.876, 0.375, 0.375], [0.375, 0.876, 0.375], [0.000, 0.000, 0.000], [0.750, 0.750, 0.750]],
  "polymorph_energy_mev_per_atom": 425.6,
  "e_form_ev_per_fu": 1.784
}


{
  "formula": "CeSmUO6",
  "functional": "PBE",
  "state": "relaxed",
  "lattice_angstrom": [[-5.450, -2.257, 0.190], [3.894, -2.019, -3.949], [2.920, -6.528, 6.216]],
  "species": ["U", "U", "O", "O", "O", "O", "O", "O", "O", "O", "O", "O", "O", "O", "Sm", "Sm", "Ce", "Ce"],
  "fractional_positions": [[0.667, 0.333, 0.250], [0.333, 0.667, 0.750], [0.643, 0.971, 0.867], [0.357, 0.029, 0.133], [0.328, 0.357, 0.867], [0.643, 0.672, 0.633], [0.672, 0.643, 0.133], [0.672, 0.029, 0.367], [0.971, 0.328, 0.133], [0.357, 0.328, 0.367], [0.029, 0.357, 0.633], [0.029, 0.672, 0.867], [0.971, 0.643, 0.367], [0.328, 0.971, 0.633], [0.667, 0.333, 0.750], [0.333, 0.667, 0.250], [0.000, 0.000, 0.000], [0.000, 0.000, 0.500]],
  "formation_energy_uncorrected_ev_per_atom": -3.29
}


{
  "formula": "KScSeS",
  "functional": "PBE",
  "state": "relaxed",
  "lattice_angstrom": [[3.911, -0.001, 0.000], [-1.955, 3.388, 0.000], [-1.956, -1.129, 7.547]],
  "species": ["Sc", "K", "S", "Se"],
  "fractional_positions": [[0.311, 0.553, 0.880], [0.962, 0.379, 0.355], [0.098, 0.947, 0.060], [0.507, 0.152, 0.674]],
  "formation_energy_uncorrected_ev_per_atom": -1.67
}


no.,DOS(E_F) (states/eV per cell)
1,1.72
2,1.97
3,2.92
4,6.08
5,3.99
6,18.40
7,7.48
8,5.18
9,0.02
10,7.57
11,11.76
12,0.00